Material: LaPrEuTh
Method: DFT, PBE
State: optimized geometry

```
LaPrEuTh
1.0
0.000 4.165 4.165
4.165 0.000 4.165
4.165 4.165 0.000
La Pr Eu Th
1 1 1 1
direct
0.000 0.000 0.000 La
0.500 0.500 0.500 Pr
0.250 0.250 0.250 Eu
0.750 0.750 0.750 Th
```

Values from the calculation:
Density of states at the Fermi level ... 2.502 states/eV per atom
Total DFT energy (no corrections) ... -6.63 eV per atom
Space-group type ... F-43m, No. 216
Total magnetization ... 6.66 μB per formula unit